First-principles (PBE) data for a relaxed structure of K2RbCdF6, as listed in Alexandria via LeMat-Bulk.

Cell lengths 6.4156, 6.7970, 9.1407 Å; angles 90.00, 88.48, 90.00 degrees
With the nearest neighbours (Å) after each atom.
Fractional coordinates of all 20 atoms:
K1 0.0146 0.9503 0.2657  6 F 2.67-2.99
K2 0.5146 0.5497 0.7657  6 F 2.67-2.99
K3 0.9854 0.0497 0.7343  6 F 2.67-2.99
K4 0.4854 0.4503 0.2343  6 F 2.67-2.99
Rb1 0.5000 0.0000 0.0000  6 F 2.68-2.83
Rb2 0.0000 0.5000 0.5000  6 F 2.68-2.83
Cd1 0.5000 0.0000 0.5000  6 F 2.17-2.21
Cd2 0.0000 0.5000 0.0000  6 F 2.17-2.21
F1 0.2815 0.6669 0.0391  1 Cd 2.17
F2 0.7815 0.8331 0.5391  1 Cd 2.17
F3 0.7185 0.3331 0.9609  1 Cd 2.17
F4 0.2185 0.1669 0.4609  1 Cd 2.17
F5 0.3379 0.7425 0.4081  1 Cd 2.21
F6 0.8379 0.7575 0.9081  1 Cd 2.21
F7 0.6621 0.2575 0.5919  1 Cd 2.21
F8 0.1621 0.2425 0.0919  1 Cd 2.21
F9 0.8760 0.5848 0.2159  1 Cd 2.19
F10 0.3760 0.9152 0.7159  1 Cd 2.19
F11 0.1240 0.4152 0.7841  1 Cd 2.19
F12 0.6240 0.0848 0.2841  1 Cd 2.19

Calculated values
E_form (uncorrected) ... -2.336 eV/atom
Total DFT energy (no corrections) ... -3.87 eV per atom
Total magnetization ... 1.02 μB per formula unit



First-principles (PBE) data for a relaxed structure of MnTc2SbN, as listed in Alexandria via LeMat-Bulk.

Cell lengths 4.1770, 4.1770, 3.8815 Å; angles 90.00, 90.00, 90.00 degrees
With the nearest neighbours (Å) after each atom.
Fractional coordinates of all 5 atoms:
Sb1 0.5000 0.5000 0.5000  8 Tc 2.85, 4 Mn 2.95
Mn1 0.0000 0.0000 0.5000  2 N 1.94
Tc1 0.0000 0.5000 0.0000  2 N 2.09
Tc2 0.5000 0.0000 0.0000  2 N 2.09
N1 0.0000 0.0000 0.0000  2 Mn 1.94, 4 Tc 2.09

Calculated values
E_form (uncorrected) ... 0.034 eV/atom
Total DFT energy (no corrections) ... -8.44 eV per atom
Total magnetization ... 1.89 μB per formula unit



First-principles (PBE) data for a relaxed structure of Cs2Rb5Pd, as listed in Alexandria via LeMat-Bulk.

Cell lengths 8.8623, 8.8625, 11.6183 Å; angles 49.98, 74.33, 78.63 degrees
With the nearest neighbours (Å) after each atom.
Fractional coordinates of all 8 atoms:
Cs1 0.2353 0.5045 0.6126  1 Pd 3.38
Cs2 0.8829 0.1521 0.6126  1 Pd 3.38
Rb1 0.6958 0.8069 0.1452  1 Pd 3.39
Rb2 0.6827 0.5038 0.8135  1 Pd 3.35
Rb3 0.2370 0.7907 0.9723  1 Pd 3.38
Rb4 0.0479 0.1590 0.1452  1 Pd 3.39
Rb5 0.4774 0.1475 0.3751  8 Rb 5.02-5.40, 4 Cs 5.11-5.25
Pd1 0.9640 0.1584 0.8776  4 Rb 3.35-3.39, 2 Cs 3.38

Calculated values
Total DFT energy (no corrections) ... -1.42 eV per atom
Formation energy from the elements ... 45 meV/atom
Total magnetization ... 0.00 μB per formula unit



First-principles (PBE) data for a relaxed structure of LaFeTc2, as listed in Alexandria via LeMat-Bulk.

Cell lengths 4.2590, 4.2590, 5.8340 Å; angles 68.62, 68.62, 60.02 degrees
With the nearest neighbours (Å) after each atom.
Fractional coordinates of all 4 atoms:
Fe1 0.4375 0.4375 0.6873  6 Tc 2.47-2.59
La1 0.2516 0.2516 0.2454  1 Fe 2.95, 4 Tc 3.15-3.26
Tc1 0.0531 0.0531 0.8409  3 Tc 2.53, 3 Fe 2.59
Tc2 0.7579 0.7579 0.7264  3 Fe 2.47, 3 Tc 2.53

Calculated values
Total DFT energy (no corrections) ... -8.33 eV per atom
Polymorph energy (0 for the lowest one) ... 0.0 meV per atom
Formation energy from the elements ... 200 meV/atom
Total magnetization ... 1.58 μB per formula unit



First-principles (PBE) data for a relaxed structure of U4PaS5, as listed in Alexandria via LeMat-Bulk.

Cell lengths 5.4800, 6.7049, 6.7049 Å; angles 80.39, 65.88, 65.88 degrees
With the nearest neighbours (Å) after each atom.
Fractional coordinates of all 10 atoms:
U1 0.4007 0.3995 0.8012  6 S 2.72-2.74
U2 0.8002 0.8012 0.6005  6 S 2.72-2.74
U3 0.2019 0.1988 0.3995  6 S 2.72-2.74
U4 0.6014 0.6005 0.1988  6 S 2.72-2.74
Pa1 0.0011 0.0000 0.0000  6 S 2.74-2.75
S1 0.9011 0.4021 0.7978  5 U 2.72-2.74, 1 Pa 2.75
S2 0.3032 0.7978 0.5979  5 U 2.72-2.74, 1 Pa 2.75
S3 0.6988 0.2022 0.4021  5 U 2.72-2.74, 1 Pa 2.75
S4 0.1009 0.5979 0.2022  5 U 2.72-2.74, 1 Pa 2.75
S5 0.5012 0.0000 0.0000  4 U 2.73, 2 Pa 2.74

Calculated values
E_form (uncorrected) ... -1.423 eV/atom
Total DFT energy (no corrections) ... -8.95 eV per atom
Total magnetization ... 9.48 μB per formula unit



First-principles (PBE) data for a relaxed structure of Na2VPb2, as listed in Alexandria via LeMat-Bulk.

Cell lengths 8.8199, 8.8199, 3.3581 Å; angles 90.00, 90.00, 90.00 degrees
With the nearest neighbours (Å) after each atom.
Fractional coordinates of all 10 atoms:
Pb1 0.1818 0.6818 0.5000  6 Na 3.00-3.19, 2 Pb 3.36
Pb2 0.6818 0.8182 0.5000  6 Na 3.00-3.19, 2 Pb 3.36
Pb3 0.8182 0.3182 0.5000  6 Na 3.00-3.19, 2 Pb 3.36
Pb4 0.3182 0.1818 0.5000  6 Na 3.00-3.19, 2 Pb 3.36
Na1 0.3814 0.8814 0.0000  1 Na 2.96, 6 Pb 3.00-3.19
Na2 0.8814 0.6186 0.0000  1 Na 2.96, 6 Pb 3.00-3.19
Na3 0.6186 0.1186 0.0000  1 Na 2.96, 6 Pb 3.00-3.19
Na4 0.1186 0.3814 0.0000  1 Na 2.96, 6 Pb 3.00-3.19
V1 0.0000 0.0000 0.0000  2 V 3.36, 4 Na 3.52, 8 Pb 3.64
V2 0.5000 0.5000 0.0000  2 V 3.36, 4 Na 3.52, 8 Pb 3.64

Calculated values
Total DFT energy (no corrections) ... -3.36 eV per atom
Polymorph energy (0 for the lowest one) ... 0.0 meV per atom
Formation energy from the elements ... 473 meV/atom
Total magnetization ... 3.24 μB per formula unit



First-principles (PBE) data for a relaxed structure of Nb2VHRu, as listed in Alexandria via LeMat-Bulk.

Cell lengths 4.4090, 4.4090, 3.4579 Å; angles 90.00, 90.00, 90.00 degrees
With the nearest neighbours (Å) after each atom.
Fractional coordinates of all 5 atoms:
Ru1 0.0000 0.0000 0.5000  2 H 1.73
Nb1 0.0000 0.5000 0.0000  2 H 2.20
Nb2 0.5000 0.0000 0.0000  2 H 2.20
H1 0.0000 0.0000 0.0000  2 Ru 1.73
V1 0.5000 0.5000 0.5000  8 Nb 2.80, 4 Ru 3.12

Calculated values
Total DFT energy (no corrections) ... -8.46 eV per atom
Polymorph energy (0 for the lowest one) ... 63.5 meV per atom
Total magnetization ... 0.00 μB per formula unit



- What is the total magnetization in the fourth record?
  1.58 μB per formula unit